# In2FeCuHg (GGA-PBEsol, relaxed)
data_In2FeCuHg
_chemical_formula_sum 'In2 Fe1 Cu1 Hg1'
_cell_length_a 4.859
_cell_length_b 4.859
_cell_length_c 4.913
_cell_angle_alpha 90.00
_cell_angle_beta 90.00
_cell_angle_gamma 90.00
_space_group_name_H-M_alt 'P 1'
_space_group_IT_number 1
_space_group_name_Hall 'P 1'
loop_
_atom_site_label
_atom_site_type_symbol
_atom_site_fract_x
_atom_site_fract_y
_atom_site_fract_z
Cu1 Cu 0.500 0.500 0.500
In1 In 0.000 0.500 0.000
In2 In 0.500 0.000 0.000
Hg1 Hg 0.000 0.000 0.500
Fe1 Fe 0.000 0.000 0.000
# * formation enthalpy at 0 K: 682 meV/atom
# * E: -16.4 eV per cell
# * size of the total moment: 1.59 μB per formula unit